No. 1
Here is crystalline LiCaP2O at its relaxed geometry from Alexandria via LeMat-Bulk. Energies are from GGA-PBE.

Geometry as POSCAR:
```
LiCaP2O
1.0
4.397 0.000 0.000
0.000 4.397 0.000
0.000 0.000 4.201
Li Ca P O
1 1 2 1
Direct
0.000 0.000 0.000 Li
0.500 0.500 0.500 Ca
0.000 0.500 0.000 P
0.500 0.000 0.000 P
0.000 0.000 0.500 O
```

Properties
Energy above the most stable polymorph in this dataset   0 meV per atom
Energy relative to the elements, uncorrected   -0.7 eV/f.u.

---

No. 2
Here is crystalline LiCa2PO at its relaxed geometry from Alexandria via LeMat-Bulk. Energies are from GGA-PBE.

Geometry as POSCAR:
```
LiCa2PO
1.0
4.665 0.000 0.000
0.000 4.665 0.000
0.000 0.000 4.022
Li Ca P O
1 2 1 1
Direct
0.000 0.000 0.000 Li
0.000 0.500 0.500 Ca
0.500 0.000 0.500 Ca
0.500 0.500 0.000 P
0.000 0.000 0.500 O
```

Properties
Energy relative to the elements, uncorrected   -8.7 eV/f.u.

---

No. 3
Here is crystalline LiCaPO2 at its relaxed geometry from Alexandria via LeMat-Bulk. Energies are from GGA-PBE.

Geometry as POSCAR:
```
LiCaPO2
1.0
4.440 0.000 0.000
0.000 4.440 0.000
0.000 0.000 5.754
Li Ca P O
1 1 1 2
Direct
0.000 0.000 0.000 Li
0.500 0.500 0.500 Ca
0.500 0.500 0.000 P
0.000 0.500 0.500 O
0.500 0.000 0.500 O
```

Properties
Energy above the most stable polymorph in this dataset   267 meV per atom
Energy relative to the elements, uncorrected   -1.2 eV/f.u.

---

No. 4
Here is crystalline LiCaP2O at its relaxed geometry from Alexandria via LeMat-Bulk. Energies are from GGA-PBE.

Geometry as POSCAR:
```
LiCaP2O
1.0
5.411 0.000 0.000
0.000 5.411 0.000
0.000 0.000 4.293
Li Ca P O
1 1 2 1
Direct
0.000 0.000 0.000 Li
0.500 0.500 0.500 Ca
0.000 0.500 0.500 P
0.500 0.000 0.500 P
0.500 0.500 0.000 O
```

Properties
Energy above the most stable polymorph in this dataset   430 meV per atom
Energy relative to the elements, uncorrected   1.5 eV/f.u.

---

No. 5
Here is crystalline Li2CaPaO4 at its relaxed geometry from Alexandria via LeMat-Bulk. Energies are from GGA-PBE.

Geometry as POSCAR:
```
Li2CaPaO4
1.0
-2.271 2.271 5.355
2.271 -2.271 5.355
2.271 2.271 -5.355
Li Ca Pa O
2 1 1 4
Direct
0.000 0.000 0.000 Li
0.750 0.250 0.500 Li
0.500 0.500 0.000 Ca
0.250 0.750 0.500 Pa
0.042 0.542 0.500 O
0.266 0.266 0.000 O
0.458 0.958 0.500 O
0.734 0.734 0.000 O
```

Properties
Energy relative to the elements, uncorrected   -21.6 eV/f.u.

---

No. 6
Here is crystalline LiCa2PbO at its relaxed geometry from Alexandria via LeMat-Bulk. Energies are from GGA-PBE.

Geometry as POSCAR:
```
LiCa2PbO
1.0
4.832 0.000 0.000
0.000 4.832 0.000
0.000 0.000 4.503
Li Ca Pb O
1 2 1 1
Direct
0.000 0.000 0.000 Li
0.000 0.500 0.500 Ca
0.500 0.000 0.500 Ca
0.500 0.500 0.000 Pb
0.000 0.000 0.500 O
```

Properties
Energy relative to the elements, uncorrected   -6.8 eV/f.u.

---

No. 7
Here is crystalline LiCaPd2O4 at its relaxed geometry from Alexandria via LeMat-Bulk. Energies are from GGA-PBE.

Geometry as POSCAR:
```
LiCaPd2O4
1.0
0.000 4.363 3.210
3.211 0.000 3.210
3.211 4.363 0.000
Li Ca Pd O
1 1 2 4
Direct
0.000 0.000 0.000 Li
0.499 0.499 0.501 Ca
0.249 0.249 0.251 Pd
0.749 0.749 0.751 Pd
0.233 0.764 0.236 O
0.497 0.999 0.503 O
0.764 0.233 0.767 O
0.999 0.497 0.001 O
```

Properties
Energy relative to the elements, uncorrected   -9.5 eV/f.u.

---

No. 8
Here is crystalline Li2CaPd2O6 at its relaxed geometry from Alexandria via LeMat-Bulk. Energies are from GGA-PBE.

Geometry as POSCAR:
```
Li2CaPd2O6
1.0
2.704 -4.719 0.000
2.704 4.719 0.000
-2.270 0.000 5.070
Li Ca Pd O
2 1 2 6
Direct
0.170 0.830 0.000 Li
0.830 0.170 0.000 Li
0.000 0.000 0.500 Ca
0.336 0.664 0.500 Pd
0.664 0.336 0.500 Pd
0.083 0.460 0.723 O
0.263 0.263 0.270 O
0.460 0.083 0.723 O
0.540 0.917 0.277 O
0.737 0.737 0.730 O
0.917 0.540 0.277 O
```

Properties
Energy relative to the elements, uncorrected   -14.2 eV/f.u.

---

energy relative to the elements, uncorrected of number 5 (Li2CaPaO4)? -21.6 eV/f.u.

---

Which formula does entry 7 have? LiCaPd2O4